Li3Ni2PdO6 | GGA+U | relaxed

Cell: 5.167 5.167 5.110 Å, 99.78 99.78 119.98°
Fractional coordinates of all 12 atoms:
1 Li 0.000 0.000 0.000
2 Li 0.333 0.667 0.000
3 Li 0.667 0.333 0.000
4 Ni 0.167 0.833 0.500
5 Ni 0.833 0.167 0.500
6 Pd 0.500 0.500 0.500
7 O 0.095 0.423 0.267
8 O 0.249 0.249 0.730
9 O 0.423 0.095 0.267
10 O 0.577 0.905 0.733
11 O 0.751 0.751 0.270
12 O 0.905 0.577 0.733

Calculated values
The raw total energy comes out at -0.372 Ry/atom. Its crystal system is monoclinic.